# 1
Below is a geometry-optimized AcEr2Co structure, with properties calculated at the PBE-GGA level.

Lattice parameters (Å, degrees): 3.473 3.473 9.097 90.00 90.00 90.00
Each line ends with the local moment (μB).
Atoms (fractional coordinates):
Ac 0.500 0.500 0.500  0.01
Co 0.500 0.500 0.000  0.88
Er 0.000 0.000 0.827  -0.12
Er 0.000 0.000 0.173  -0.12

Properties
The polymorph energy (0 for the lowest one) comes out at 49 meV per atom. As for the symmetry: P4/mmm, No. 123. Its energy of formation is -36 meV per atom.



# 2
Below is a geometry-optimized AcEr2Co structure, with properties calculated at the PBE-GGA level.

Lattice parameters (Å, degrees): 3.746 6.485 9.587 90.00 90.00 106.73
Atoms (fractional coordinates):
Ac 0.419 0.838 0.250
Ac 0.581 0.162 0.750
Er 0.147 0.294 0.425
Er 0.853 0.706 0.575
Er 0.853 0.706 0.925
Er 0.147 0.294 0.075
Co 0.741 0.481 0.250
Co 0.259 0.519 0.750

Properties
The polymorph energy (0 for the lowest one) comes out at 0 meV per atom. As for the symmetry: Cmcm, No. 63. Its energy of formation is -84 meV per atom.



| no. | size of the total moment (μB/cell) |
| --- | --- |
| 1 | 0.6 |
| 2 | 0.0 |